1.
# Pm4Nd3Sm2 | Alexandria | GGA-PBE | optimized geometry
data_Pm4Nd3Sm2
_chemical_formula_sum 'Pm4 Nd3 Sm2'
_space_group_name_H-M_alt 'P 1'
_space_group_IT_number 1
_space_group_name_Hall 'P 1'
_cell_length_a 3.657
_cell_length_b 3.657
_cell_length_c 27.232
_cell_angle_alpha 90.00
_cell_angle_beta 90.00
_cell_angle_gamma 120.00
loop_
_atom_site_label
_atom_site_type_symbol
_atom_site_fract_x
_atom_site_fract_y
_atom_site_fract_z
_atom_site_occupancy
Nd1 Nd 0.667 0.333 0.653 1
Nd2 Nd 0.000 0.000 0.984 1
Nd3 Nd 0.000 0.000 0.322 1
Sm1 Sm 0.667 0.333 0.089 1
Sm2 Sm 0.667 0.333 0.871 1
Pm1 Pm 0.667 0.333 0.216 1
Pm2 Pm 0.667 0.333 0.435 1
Pm3 Pm 0.000 0.000 0.543 1
Pm4 Pm 0.000 0.000 0.764 1
# E_form   0.06 eV per atom

2.
# Pm7Nd3Sm | Alexandria | GGA-PBE | optimized geometry
data_Pm7Nd3Sm
_chemical_formula_sum 'Pm7 Nd3 Sm1'
_space_group_name_H-M_alt 'P 1'
_space_group_IT_number 1
_space_group_name_Hall 'P 1'
_cell_length_a 6.505
_cell_length_b 7.841
_cell_length_c 7.840
_cell_angle_alpha 81.66
_cell_angle_beta 86.04
_cell_angle_gamma 86.04
loop_
_atom_site_label
_atom_site_type_symbol
_atom_site_fract_x
_atom_site_fract_y
_atom_site_fract_z
_atom_site_occupancy
Pm1 Pm 0.739 0.919 0.573 1
Pm2 Pm 0.261 0.427 0.081 1
Pm3 Pm 0.000 0.500 0.500 1
Pm4 Pm 0.787 0.238 0.238 1
Pm5 Pm 0.213 0.762 0.762 1
Pm6 Pm 0.739 0.573 0.919 1
Pm7 Pm 0.261 0.081 0.427 1
Nd1 Nd 0.500 0.000 0.000 1
Nd2 Nd 0.000 0.827 0.173 1
Nd3 Nd 0.000 0.173 0.827 1
Sm1 Sm 0.500 0.500 0.500 1
# E_form   0.22 eV per atom